K2TcCl6 at its PBEsol-relaxed geometry. Source: Alexandria via LeMat-Bulk, functional SCAN.

```
data_K2TcCl6
_space_group_name_H-M_alt 'F m -3 m'
_space_group_IT_number 225
_space_group_name_Hall '-F 4 2 3'
_cell_length_a 9.727
_cell_length_b 9.727
_cell_length_c 9.727
_cell_angle_alpha 90.00
_cell_angle_beta 90.00
_cell_angle_gamma 90.00
loop_
_atom_site_label
_atom_site_type_symbol
_atom_site_fract_x
_atom_site_fract_y
_atom_site_fract_z
K1 K 0.250 0.250 0.250
Tc1 Tc 0.000 0.000 0.000
Cl1 Cl 0.000 0.000 0.240
```

Computed properties:
formation energy (no corrections): -14.1 eV per formula unit